--- A ---
Entry from the Alexandria database: an optimized crystal structure of Pm4NdEr7 (PBE-GGA).

For the volume, the calculation gives 32.393 Å³/atom. The theoretical density is 8.10 g cm⁻³. The value obtained for the density of states at the Fermi level is 1.466 states/eV per atom.

```
data_Pm4NdEr7
_chemical_formula_sum 'Pm4 Nd1 Er7'
_cell_length_a 6.871
_cell_length_b 7.003
_cell_length_c 8.669
_cell_angle_alpha 78.34
_cell_angle_beta 77.08
_cell_angle_gamma 75.41
_symmetry_space_group_name_H-M 'P -1'
_symmetry_Int_Tables_number 2
loop_
_symmetry_equiv_pos_as_xyz
'x,y,z'
'-x,-y,-z'
loop_
_atom_site_label
_atom_site_type_symbol
_atom_site_fract_x
_atom_site_fract_y
_atom_site_fract_z
_atom_site_occupancy
Pm1 Pm 0.154 0.273 0.317 1
Pm2 Pm 0.316 0.894 0.665 1
Nd1 Nd 0.500 0.500 0.000 1
Er1 Er 0.016 0.249 0.978 1
Er2 Er 0.175 0.768 0.327 1
Er3 Er 0.324 0.391 0.639 1
Er4 Er 0.500 0.000 0.000 1
```


--- B ---
Entry from the Alexandria database: an optimized crystal structure of Pm4NdEr7 (PBE-GGA).

For the volume, the calculation gives 33.413 Å³/atom. The theoretical density is 7.85 g cm⁻³. The value obtained for the density of states at the Fermi level is 1.640 states/eV per atom.

```
data_Pm4NdEr7
_chemical_formula_sum 'Pm8 Nd2 Er14'
_cell_length_a 12.124
_cell_length_b 5.883
_cell_length_c 12.726
_cell_angle_alpha 90.00
_cell_angle_beta 117.94
_cell_angle_gamma 90.00
_symmetry_space_group_name_H-M 'C 1 2/m 1'
_symmetry_Int_Tables_number 12
loop_
_symmetry_equiv_pos_as_xyz
'x,y,z'
'-x,-y,-z'
'-x,y,-z'
'x,-y,z'
'x+1/2,y+1/2,z'
'-x+1/2,-y+1/2,-z'
'-x+1/2,y+1/2,-z'
'x+1/2,-y+1/2,z'
loop_
_atom_site_label
_atom_site_type_symbol
_atom_site_fract_x
_atom_site_fract_y
_atom_site_fract_z
_atom_site_occupancy
Pm1 Pm 0.135 0.000 0.277 1
Pm2 Pm 0.231 0.500 0.171 1
Nd1 Nd 0.000 0.500 0.500 1
Er1 Er 0.000 0.000 0.500 1
Er2 Er 0.066 0.500 0.819 1
Er3 Er 0.133 0.000 0.997 1
Er4 Er 0.211 0.500 0.423 1
```


Most stable of them? A.